No. 1
GGA-PBE EuAlTl2, relaxed; density of states at the Fermi level = 8.720 states/eV/f.u.; formation energy from the elements = -0.632 eV per formula unit; calculated total energy = -19.38 eV/f.u.; size of the total moment = 7.0 μB per formula unit; symmetry = R-3m
1.0
2.403 1.388 5.575
-2.403 1.388 5.575
0.000 -2.775 5.575
Eu Al Tl
1 1 2
direct
0.000 0.000 0.000
0.500 0.500 0.500
0.230 0.230 0.230
0.770 0.770 0.770

---

No. 2
GGA-PBE Na2In3Hg7, relaxed; density of states at the Fermi level = 4.221 states/eV/f.u.; formation energy from the elements = -0.939 eV per formula unit; calculated total energy = -13.91 eV/f.u.; size of the total moment = 0.0 μB per formula unit; symmetry = Cmmm; E above lowest polymorph = 0 meV per atom
1.0
2.649 -12.127 0.000
2.649 12.127 0.000
0.000 0.000 5.209
Na In Hg
2 3 7
direct
0.149 0.851 0.000
0.851 0.149 0.000
0.352 0.648 0.500
0.500 0.500 0.500
0.648 0.352 0.500
0.000 0.000 0.000
0.077 0.923 0.500
0.279 0.721 0.000
0.425 0.575 0.000
0.575 0.425 0.000
0.721 0.279 0.000
0.923 0.077 0.500

---

No. 3
GGA-PBE K3U3SeS8, relaxed; density of states at the Fermi level = 17.809 states/eV/f.u.; calculated total energy = -90.38 eV/f.u.; size of the total moment = 5.0 μB per formula unit; symmetry = C2/m
1.0
6.713 -4.260 0.000
6.713 4.260 0.000
-4.245 0.000 7.295
K U Se S
3 3 1 8
direct
0.000 0.000 0.000
0.000 0.500 0.000
0.500 0.000 0.000
0.000 0.500 0.500
0.500 0.000 0.500
0.500 0.500 0.500
0.000 0.000 0.500
0.220 0.220 0.679
0.263 0.263 0.295
0.272 0.667 0.720
0.333 0.728 0.280
0.667 0.272 0.720
0.728 0.333 0.280
0.737 0.737 0.705
0.780 0.780 0.321